1.
Compound: GeSb3W
Source: Alexandria
Functional: PBE-GGA
Structure: optimized geometry

Properties
Symmetry = No. 221
Fermi-level density of states = 0.96 states/eV/atom
ΔE_f (raw) = 1.56 eV/atom
Offset from the most stable computed form = 0.740 eV/atom

The structure in POSCAR format:
```
GeSb3W
1.0
5.204 0.000 0.000
0.000 5.204 0.000
0.000 0.000 5.204
Sb Ge W
3 1 1
direct
0.000 0.500 0.000 Sb
0.000 0.000 0.500 Sb
0.500 0.000 0.000 Sb
0.000 0.000 0.000 Ge
0.500 0.500 0.500 W
```

2.
Compound: BaAuCl
Source: Alexandria
Functional: PBE-GGA
Structure: optimized geometry

Properties
Symmetry = No. 12
Fermi-level density of states = 0.18 states/eV/atom
ΔE_f (raw) = -1.58 eV/atom
Offset from the most stable computed form = 0.000 eV/atom

The structure in POSCAR format:
```
BaAuCl
1.0
-1.244 -4.766 0.538
1.958 -2.682 3.678
-6.595 -0.087 6.784
Ba Au Cl
2 2 2
direct
0.918 0.918 0.744 Ba
0.082 0.082 0.256 Ba
0.658 0.658 0.525 Au
0.342 0.342 0.475 Au
0.795 0.795 0.115 Cl
0.205 0.205 0.885 Cl
```

3.
Compound: Pr12Ho2Th
Source: Alexandria
Functional: PBE-GGA
Structure: optimized geometry

Properties
Symmetry = No. 67
Formation enthalpy at 0 K = 0.17 eV per atom
Fermi-level density of states = 1.51 states/eV/atom

The structure in POSCAR format:
```
Pr12Ho2Th
1.0
6.716 1.606 0.000
1.606 6.716 0.000
0.000 0.000 25.308
Pr Ho Th
24 4 2
direct
0.500 0.500 0.800 Pr
0.000 0.000 0.800 Pr
0.752 0.748 0.873 Pr
0.252 0.752 0.927 Pr
0.000 0.000 0.324 Pr
0.248 0.748 0.073 Pr
0.775 0.275 0.560 Pr
0.500 0.500 0.324 Pr
0.248 0.252 0.873 Pr
0.748 0.752 0.127 Pr
0.269 0.231 0.587 Pr
0.725 0.225 0.440 Pr
0.000 0.000 0.676 Pr
0.231 0.269 0.413 Pr
0.252 0.248 0.127 Pr
0.769 0.731 0.413 Pr
0.731 0.769 0.587 Pr
0.000 0.000 0.200 Pr
0.225 0.725 0.560 Pr
0.500 0.500 0.676 Pr
0.748 0.248 0.927 Pr
0.500 0.500 0.200 Pr
0.275 0.775 0.440 Pr
0.752 0.252 0.073 Pr
0.500 0.000 0.270 Ho
0.000 0.500 0.267 Ho
0.000 0.500 0.730 Ho
0.500 0.000 0.733 Ho
0.500 0.000 0.001 Th
0.000 0.500 0.999 Th
```

4.
Compound: CrNi2H3
Source: Alexandria
Functional: PBE-GGA
Structure: optimized geometry

Properties
Symmetry = No. 193
Fermi-level density of states = 0.50 states/eV/atom
Offset from the most stable computed form = 0.060 eV/atom

The structure in POSCAR format:
```
CrNi2H3
1.0
5.039 0.000 0.000
0.000 4.141 1.326
0.000 0.924 4.249
Cr Ni H
2 4 6
direct
0.750 0.500 0.500 Cr
0.250 0.500 0.500 Cr
0.000 0.833 0.833 Ni
0.500 0.833 0.833 Ni
0.000 0.167 0.167 Ni
0.500 0.167 0.167 Ni
0.250 0.953 0.047 H
0.250 0.500 0.953 H
0.750 0.953 0.500 H
0.250 0.047 0.500 H
0.750 0.500 0.047 H
0.750 0.047 0.953 H
```

| no. | theoretical density (g/cm³) |
| --- | --- |
| 1 | 7.32 |
| 2 | 6.41 |
| 3 | 6.95 |
| 4 | 6.94 |